11
Lattice="2.856 -4.637 0.000 2.856 4.637 0.000 -1.906 0.000 5.745" Properties=species:S:1:pos:R:3 comment="Na2UMo2O6 (PBE with a Hubbard U, optimized geometry)" magnetic_moment_mub_per_cell=3.98 total_energy_ev_per_atom=-7.205 pbc="T T T"
Na 2.856 2.947 0.000
Na 2.856 -2.947 0.000
U -0.953 0.000 2.872
Mo 1.903 1.331 2.872
Mo 1.903 -1.331 2.872
O -0.017 1.634 3.986
O 0.827 0.000 1.542
O -0.017 -1.634 3.986
O 3.822 1.634 1.759
O 2.978 0.000 4.203
O 3.822 -1.634 1.759